First-principles (PBE with a Hubbard U) data for an optimized crystal structure of KCr2InO8, as listed in Alexandria.

Calculated values
As for the crystal system: trigonal. The value obtained for the total moment is 0.000 μB per atom. The total energy is -226.20 eV per cell.

Geometry as CIF:
```
data_KCr2InO8
_symmetry_space_group_name_H-M 'R -3'
_symmetry_Int_Tables_number 148
_symmetry_space_group_name_Hall '-R 3'
_cell_length_a 5.2844
_cell_length_b 5.2844
_cell_length_c 23.5601
_cell_angle_alpha 90.00
_cell_angle_beta 90.00
_cell_angle_gamma 120.00
loop_
_atom_site_label
_atom_site_type_symbol
_atom_site_fract_x
_atom_site_fract_y
_atom_site_fract_z
_atom_site_occupancy
K1 K 0.0000 0.0000 0.0000 1
Cr1 Cr 0.0000 0.0000 0.2436 1
In1 In 0.0000 0.0000 0.5000 1
O1 O 0.0000 0.0000 0.3127 1
O2 O 0.0180 0.6380 0.8881 1
```